SrPrAgSb: relaxed, GGA-PBE.

Cell and atoms, written as extended XYZ:
```
4
Lattice="5.516 0.000 0.000 2.758 4.777 0.000 2.758 1.592 4.504" Properties=species:S:1:pos:R:3 pbc="T T T"
Ag 2.758 1.592 1.126
Sb 8.274 4.777 3.378
Pr 0.000 0.000 0.000
Sr 5.516 3.185 2.252
```

Calculated values
V: 29.671 Å³/atom
Formation energy (no corrections): -2.31 eV/f.u.
Calculated density: 6.41 g/cm³